# 1
A plane-wave DFT calculation with PBE was carried out for a relaxed K2YAgBr6 crystal.

Cell: 11.263 11.263 11.263 Å, 90.00 90.00 90.00°
Space group Fm-3m (No. 225)
Inequivalent atoms, fractional coordinates:
K: 0.250 0.250 0.250
Y: 0.000 0.000 0.000
Ag: 0.000 0.000 0.500
Br: 0.000 0.000 0.248

Calculated values
E_tot   -145.53 eV for the cell shown
E_form (uncorrected)   -1.4836 eV per atom
Offset from the most stable computed form   0.0463 eV per atom
Density of states at the Fermi level   0.000 states/eV per atom

# 2
A plane-wave DFT calculation with PBE was carried out for a relaxed Er4CdGa2Rh crystal.

Cell: 5.0295 5.0295 24.5027 Å, 90.00 90.00 120.00°
Space group R-3m (No. 166, hexagonal axes)
Inequivalent atoms, fractional coordinates:
Er: 0.0000 0.0000 0.1170
Er: 0.0000 0.0000 0.3692
Cd: 0.0000 0.0000 0.5000
Ga: 0.0000 0.0000 0.2445
Rh: 0.0000 0.0000 0.0000

Calculated values
E_tot   -112.13 eV for the cell shown
Density of states at the Fermi level   0.442 states/eV per atom